Entry 1:
Below is a geometry-optimized InSnIBr4 structure, with properties calculated at the PBE level.

Lattice parameters (Å, degrees): 8.3826 8.3826 10.5943 109.83 109.83 72.35
Element x y z (fractional)
In1 0.1543 0.1543 0.3542
In2 0.8457 0.8457 0.6458
Sn1 0.4184 0.4184 0.7695
Sn2 0.5816 0.5816 0.2305
I1 0.3448 0.3448 0.9943
I2 0.6552 0.6552 0.0057
Br1 0.1607 0.7674 0.7887
Br2 0.1652 0.1652 0.6018
Br3 0.2326 0.8393 0.2113
Br4 0.3500 0.3500 0.3883
Br5 0.6500 0.6500 0.6117
Br6 0.7674 0.1607 0.7887
Br7 0.8348 0.8348 0.3982
Br8 0.8393 0.2326 0.2113

- Crystal system: monoclinic

Entry 2:
Below is a geometry-optimized Ta2InIBr structure, with properties calculated at the PBE level.

Lattice parameters (Å, degrees): 5.1266 5.1266 6.7294 90.00 90.00 90.00
Element x y z (fractional)
Ta1 0.0000 0.5000 0.0000
Ta2 0.5000 0.0000 0.0000
In1 0.0000 0.0000 0.5000
I1 0.5000 0.5000 0.0000
Br1 0.5000 0.5000 0.5000

- Crystal system: tetragonal

Entry 3:
Below is a geometry-optimized In4TeI2Br structure, with properties calculated at the PBE level.

Lattice parameters (Å, degrees): 9.4964 9.4964 9.4964 121.74 118.96 89.41
Element x y z (fractional)
In1 0.2543 0.2414 0.4871
In2 0.2543 0.7672 0.0129
In3 0.2704 0.2472 0.0232
In4 0.2760 0.7528 0.5232
In5 0.7240 0.2472 0.4768
In6 0.7296 0.7528 0.9768
In7 0.7457 0.2328 0.9871
In8 0.7457 0.7586 0.5129
Te1 0.5000 0.0000 0.0000
Te2 0.5000 0.5000 0.5000
I1 0.0000 0.0000 0.5000
I2 0.0000 0.5000 0.0000
I3 0.0000 0.5000 0.5000
I4 0.5000 0.5000 0.0000
Br1 0.0000 0.0000 0.0000
Br2 0.5000 0.0000 0.5000

- Crystal system: orthorhombic

Entry 4:
Below is a geometry-optimized InTe2IBr structure, with properties calculated at the PBE level.

Lattice parameters (Å, degrees): 5.8666 5.8666 5.8070 90.00 90.00 90.00
Element x y z (fractional)
In1 0.0000 0.0000 0.0000
Te1 0.0000 0.5000 0.0000
Te2 0.5000 0.0000 0.0000
I1 0.0000 0.0000 0.5000
Br1 0.5000 0.5000 0.5000

- Offset from the most stable computed form: 0.0 meV per atom
- Crystal system: tetragonal

Entry 5:
Below is a geometry-optimized In4TeIBr2 structure, with properties calculated at the PBE level.

Lattice parameters (Å, degrees): 9.3740 9.3740 9.3740 120.89 119.09 90.03
Element x y z (fractional)
In1 0.2469 0.2349 0.4880
In2 0.2469 0.7589 0.0120
In3 0.2651 0.2464 0.0187
In4 0.2723 0.7536 0.5187
In5 0.7277 0.2464 0.4813
In6 0.7349 0.7536 0.9813
In7 0.7531 0.2411 0.9880
In8 0.7531 0.7651 0.5120
Te1 0.5000 0.0000 0.0000
Te2 0.5000 0.5000 0.5000
I1 0.0000 0.5000 0.5000
I2 0.5000 0.5000 0.0000
Br1 0.0000 0.0000 0.0000
Br2 0.0000 0.0000 0.5000
Br3 0.0000 0.5000 0.0000
Br4 0.5000 0.0000 0.5000

- Crystal system: orthorhombic

Entry 6:
Below is a geometry-optimized InTe2IBr structure, with properties calculated at the PBE level.

Lattice parameters (Å, degrees): 5.5014 5.5014 7.8255 90.00 90.00 90.00
Element x y z (fractional)
In1 0.0000 0.0000 0.0000
Te1 0.0000 0.5000 0.5000
Te2 0.5000 0.0000 0.5000
I1 0.5000 0.5000 0.0000
Br1 0.5000 0.5000 0.5000

- Offset from the most stable computed form: 64.5 meV per atom
- Crystal system: tetragonal

Entry 7:
Below is a geometry-optimized InTeI2Br structure, with properties calculated at the PBE level.

Lattice parameters (Å, degrees): 5.8602 5.8602 6.0677 90.00 90.00 90.00
Element x y z (fractional)
In1 0.0000 0.0000 0.0000
Te1 0.0000 0.0000 0.5000
I1 0.0000 0.5000 0.0000
I2 0.5000 0.0000 0.0000
Br1 0.5000 0.5000 0.5000

- Offset from the most stable computed form: 0.0 meV per atom
- Crystal system: tetragonal

Entry 8:
Below is a geometry-optimized InTeI2Br structure, with properties calculated at the PBE level.

Lattice parameters (Å, degrees): 6.0472 6.0472 6.0206 90.00 90.00 90.00
Element x y z (fractional)
In1 0.0000 0.0000 0.0000
Te1 0.5000 0.5000 0.0000
I1 0.0000 0.5000 0.5000
I2 0.5000 0.0000 0.5000
Br1 0.5000 0.5000 0.5000

- Offset from the most stable computed form: 102.0 meV per atom
- Crystal system: tetragonal

Entry 9:
Below is a geometry-optimized TiIn2I4Br2 structure, with properties calculated at the PBE level.

Lattice parameters (Å, degrees): 7.7511 7.7511 7.9636 120.46 120.46 62.13
Element x y z (fractional)
Ti1 0.0000 0.0000 0.0000
In1 0.2377 0.2377 0.7120
In2 0.7623 0.7623 0.2880
I1 0.1969 0.7059 0.7115
I2 0.2941 0.8031 0.2885
I3 0.7059 0.1969 0.7115
I4 0.8031 0.2941 0.2885
Br1 0.2235 0.2235 0.1362
Br2 0.7765 0.7765 0.8638

- Crystal system: monoclinic

Entry 10:
Below is a geometry-optimized TlInIBr2 structure, with properties calculated at the PBE level.

Lattice parameters (Å, degrees): 5.6452 5.6452 6.1800 90.00 90.00 90.00
Element x y z (fractional)
Tl1 0.0000 0.0000 0.0000
In1 0.5000 0.5000 0.5000
I1 0.5000 0.5000 0.0000
Br1 0.0000 0.5000 0.5000
Br2 0.5000 0.0000 0.5000

- Crystal system: tetragonal

Entry 11:
Below is a geometry-optimized TlIn2IBr2 structure, with properties calculated at the PBE level.

Lattice parameters (Å, degrees): 5.7228 5.7228 7.3187 90.00 90.00 120.00
Element x y z (fractional)
Tl1 0.0000 0.0000 0.0000
In1 0.3333 0.6667 0.6937
In2 0.6667 0.3333 0.3063
I1 0.0000 0.0000 0.5000
Br1 0.3333 0.6667 0.1525
Br2 0.6667 0.3333 0.8475

- Crystal system: trigonal

Entry 12:
Below is a geometry-optimized UIn3I2Br6 structure, with properties calculated at the PBE level.

Lattice parameters (Å, degrees): 9.4269 9.4269 6.7565 91.65 91.65 56.94
Element x y z (fractional)
U1 0.0000 0.0000 0.0000
In1 0.0000 0.5000 0.0000
In2 0.5000 0.0000 0.0000
In3 0.5000 0.5000 0.5000
I1 0.3316 0.3316 0.7072
I2 0.6684 0.6684 0.2928
Br1 0.1390 0.1390 0.2323
Br2 0.1457 0.7139 0.2265
Br3 0.2861 0.8543 0.7735
Br4 0.7139 0.1457 0.2265
Br5 0.8543 0.2861 0.7735
Br6 0.8610 0.8610 0.7677

- Crystal system: monoclinic

no.,total energy (hartree per atom)
1,-0.1049
2,-0.1535
3,-0.1014
4,-0.0775
5,-0.1033
6,-0.0751
7,-0.0721
8,-0.0683
9,-0.1196
10,-0.0971
11,-0.1003
12,-0.1317